# 1
VASP calculation (PBE) on a relaxed structure of PSeI3.

As for the total magnetization: 2.38 μB per formula unit. The calculation puts the uncorrected formation energy at 758 meV/atom. The total energy is -1.951 eV/atom. For the theoretical density, the calculation gives 4.3 g/cm³. Its calculated volume is 38.251 A^3/atom.

Cell: 5.7615 5.7615 5.7615 Å, 90.00 90.00 90.00°
Atoms (fractional coordinates):
P  0.0000  0.0000  0.0000
Se  0.5000  0.5000  0.5000
I  0.0000  0.5000  0.5000
I  0.5000  0.0000  0.5000
I  0.5000  0.5000  0.0000

---

# 2
VASP calculation (PBE) on a relaxed structure of P2SeI.

As for the total magnetization: 0.00 μB per formula unit. The calculation puts the uncorrected formation energy at 971 meV/atom. The total energy is -2.992 eV/atom. For the theoretical density, the calculation gives 5.4 g/cm³. Its calculated volume is 20.478 A^3/atom.

Cell: 6.8939 6.8939 6.8939 Å, 90.00 90.00 90.00°
Atoms (fractional coordinates):
P  0.2500  0.2500  0.2500
P  0.2500  0.2500  0.7500
P  0.2500  0.7500  0.2500
P  0.2500  0.7500  0.7500
P  0.7500  0.2500  0.2500
P  0.7500  0.2500  0.7500
P  0.7500  0.7500  0.2500
P  0.7500  0.7500  0.7500
Se  0.0000  0.0000  0.0000
Se  0.0000  0.5000  0.5000
Se  0.5000  0.0000  0.5000
Se  0.5000  0.5000  0.0000
I  0.0000  0.0000  0.5000
I  0.0000  0.5000  0.0000
I  0.5000  0.0000  0.0000
I  0.5000  0.5000  0.5000

---

# 3
VASP calculation (PBE) on a relaxed structure of P3Se4I.

As for the total magnetization: 0.00 μB per formula unit. The calculation puts the uncorrected formation energy at -57 meV/atom. The total energy is -4.022 eV/atom. For the theoretical density, the calculation gives 3.1 g/cm³. Its calculated volume is 36.059 A^3/atom.

Cell: 12.2220 7.1827 14.7803 Å, 90.00 117.21 90.00°
Atoms (fractional coordinates):
P  0.1829  0.1271  0.0129
P  0.1829  0.3729  0.5129
P  0.2094  0.6736  0.5467
P  0.2094  0.8264  0.0467
P  0.3096  0.6183  0.3680
P  0.3096  0.8817  0.8680
P  0.6904  0.1183  0.1320
P  0.6904  0.3817  0.6320
P  0.7906  0.1736  0.9533
P  0.7906  0.3264  0.4533
P  0.8171  0.6271  0.4871
P  0.8171  0.8729  0.9871
Se  0.0416  0.7423  0.3948
Se  0.0416  0.7577  0.8948
Se  0.1312  0.7310  0.7799
Se  0.1312  0.7690  0.2799
Se  0.2479  0.1713  0.8921
Se  0.2479  0.3287  0.3921
Se  0.3743  0.7486  0.0253
Se  0.3743  0.7514  0.5253
Se  0.6257  0.2486  0.4747
Se  0.6257  0.2514  0.9747
Se  0.7521  0.6713  0.6079
Se  0.7521  0.8287  0.1079
Se  0.8688  0.2310  0.7201
Se  0.8688  0.2690  0.2201
Se  0.9584  0.2423  0.1052
Se  0.9584  0.2577  0.6052
I  0.3571  0.2461  0.1774
I  0.3571  0.2539  0.6774
I  0.6429  0.7461  0.3226
I  0.6429  0.7539  0.8226

---

# 4
VASP calculation (PBE) on a relaxed structure of P2SeI.

As for the total magnetization: 0.00 μB per formula unit. The calculation puts the uncorrected formation energy at 670 meV/atom. The total energy is -3.294 eV/atom. For the theoretical density, the calculation gives 4.3 g/cm³. Its calculated volume is 25.650 A^3/atom.

Cell: 7.1386 7.1386 8.0535 Å, 90.00 90.00 90.00°
Atoms (fractional coordinates):
P  0.2052  0.2500  0.1250
P  0.2500  0.7052  0.3750
P  0.2500  0.7948  0.8750
P  0.2948  0.2500  0.6250
P  0.7052  0.7500  0.6250
P  0.7500  0.2052  0.8750
P  0.7500  0.2948  0.3750
P  0.7948  0.7500  0.1250
Se  0.0000  0.0000  0.0000
Se  0.0000  0.5000  0.2500
Se  0.5000  0.0000  0.7500
Se  0.5000  0.5000  0.5000
I  0.0000  0.0000  0.5000
I  0.0000  0.5000  0.7500
I  0.5000  0.0000  0.2500
I  0.5000  0.5000  0.0000